(1)
Nd4Te2OsCl: optimized geometry, PBE-GGA.

Summary:
N(E_F) (states/eV/f.u.): 6.0
SG: P2/m, No. 10
Total magnetic moment (Bohr magnetons per cell): 0.0
Energy (Ry/atom): -0.431

Unit cell a=7.567 b=4.261 c=7.752 alpha=90.00 beta=107.35 gamma=90.00
Fractional positions:
Nd 0.217 0.000 0.211
Nd 0.230 0.500 0.775
Nd 0.770 0.500 0.225
Nd 0.783 0.000 0.789
Te 0.000 0.000 0.500
Te 0.500 0.500 0.500
Os 0.000 0.500 0.000
Cl 0.500 0.000 0.000

(2)
SiPOs2: optimized geometry, PBE-GGA.

Summary:
N(E_F) (states/eV/f.u.): 1.3
SG: Imm2, No. 44
Total magnetic moment (Bohr magnetons per cell): 0.0
Energy (Ry/atom): -0.618

Unit cell a=2.924 b=3.557 c=10.832 alpha=90.00 beta=90.00 gamma=90.00
Fractional positions:
Si 0.000 0.000 0.000
Si 0.500 0.500 0.500
P 0.000 0.500 0.259
P 0.500 0.000 0.759
Os 0.000 0.000 0.587
Os 0.000 0.500 0.835
Os 0.500 0.000 0.335
Os 0.500 0.500 0.087

(3)
LaPm2PrNd5: optimized geometry, PBE-GGA.

Summary:
N(E_F) (states/eV/f.u.): 13.6
SG: I4/mcm, No. 140
DFT formation energy (eV per atom): 0.242
Total magnetic moment (Bohr magnetons per cell): 0.0

Unit cell a=10.213 b=10.213 c=10.213 alpha=127.98 beta=127.98 gamma=76.66
Fractional positions:
La 0.250 0.250 0.000
La 0.750 0.750 0.000
Pm 0.118 0.618 0.736
Pm 0.382 0.118 0.500
Pm 0.618 0.882 0.500
Pm 0.882 0.382 0.264
Pr 0.250 0.750 0.500
Pr 0.750 0.250 0.500
Nd 0.000 0.000 0.000
Nd 0.068 0.160 0.500
Nd 0.160 0.660 0.092
Nd 0.340 0.432 0.500
Nd 0.432 0.932 0.092
Nd 0.500 0.500 0.000
Nd 0.568 0.068 0.908
Nd 0.660 0.568 0.500
Nd 0.840 0.340 0.908
Nd 0.932 0.840 0.500

(4)
YHg2Ir: optimized geometry, PBE-GGA.

Summary:
N(E_F) (states/eV/f.u.): 1.3
SG: I-42d, No. 122
DFT formation energy (eV per atom): -0.081
Total magnetic moment (Bohr magnetons per cell): 0.0

Unit cell a=4.133 b=4.133 c=21.410 alpha=90.00 beta=90.00 gamma=90.00
Fractional positions:
Y 0.000 0.000 0.000
Y 0.000 0.500 0.250
Y 0.500 0.000 0.750
Y 0.500 0.500 0.500
Hg 0.232 0.250 0.625
Hg 0.250 0.732 0.875
Hg 0.250 0.768 0.375
Hg 0.268 0.250 0.125
Hg 0.732 0.750 0.125
Hg 0.750 0.232 0.375
Hg 0.750 0.268 0.875
Hg 0.768 0.750 0.625
Ir 0.000 0.000 0.500
Ir 0.000 0.500 0.750
Ir 0.500 0.000 0.250
Ir 0.500 0.500 0.000

(5)
BaLaMn: optimized geometry, PBE-GGA.

Summary:
N(E_F) (states/eV/f.u.): 4.3
SG: P3m1, No. 156
DFT formation energy (eV per atom): 0.535
Total magnetic moment (Bohr magnetons per cell): 3.4

Unit cell a=3.899 b=3.899 c=8.312 alpha=90.00 beta=90.00 gamma=120.00
Fractional positions:
Ba 0.000 0.000 0.000
La 0.667 0.333 0.447
Mn 0.333 0.667 0.699

(6)
TcNiAsS2: optimized geometry, PBE-GGA.

Summary:
N(E_F) (states/eV/f.u.): 6.1
SG: P4/mmm, No. 123
Total magnetic moment (Bohr magnetons per cell): 0.9
Energy (Ry/atom): -0.374

Unit cell a=4.431 b=4.431 c=5.299 alpha=90.00 beta=90.00 gamma=90.00
Fractional positions:
Tc 0.000 0.000 0.000
Ni 0.500 0.500 0.500
As 0.000 0.000 0.500
S 0.000 0.500 0.000
S 0.500 0.000 0.000